A | A relaxed PbSF3 crystal. Source: Alexandria, functional GGA-PBE.

Results
As for the density of states at the Fermi level: 6.66 states/eV/cell. Its total magnetization is 2.5 μB per cell.

a = 4.6516 Å, b = 4.6516 Å, c = 4.6516 Å
α = 90.00°, β = 90.00°, γ = 90.00°
Closest atoms and distances in Å follow each position.
Sites, in units of the cell vectors:
F (0.5000, 0.0000, 0.0000)  2 Pb 2.33
F (0.0000, 0.0000, 0.5000)  2 Pb 2.33
F (0.0000, 0.5000, 0.0000)  2 Pb 2.33
Pb (0.0000, 0.0000, 0.0000)  6 F 2.33
S (0.5000, 0.5000, 0.5000)  12 F 3.29

=====

B | A relaxed PbSF3 crystal. Source: Alexandria, functional GGA-PBE.

Results
As for the density of states at the Fermi level: 2.73 states/eV/cell. Its total magnetization is 0.0 μB per cell.

a = 4.4227 Å, b = 4.4227 Å, c = 4.4227 Å
α = 90.00°, β = 90.00°, γ = 90.00°
Closest atoms and distances in Å follow each position.
Sites, in units of the cell vectors:
F (0.0000, 0.0000, 0.5000)  2 S 2.21
F (0.5000, 0.0000, 0.0000)  2 S 2.21
Pb (0.5000, 0.5000, 0.5000)  12 F 3.13
S (0.0000, 0.0000, 0.0000)  6 F 2.21
F (0.0000, 0.5000, 0.0000)  2 S 2.21

=====

Least stable: B

=====

A | A relaxed PbSF crystal. Source: Alexandria, functional GGA-PBE.

Results
As for the density of states at the Fermi level: 3.10 states/eV/cell. Its total magnetization is 0.0 μB per cell.

a = 4.5166 Å, b = 4.0687 Å, c = 4.0687 Å
α = 120.00°, β = 90.00°, γ = 90.00°
Closest atoms and distances in Å follow each position.
Sites, in units of the cell vectors:
S (0.6135, 0.3333, 0.6667)  3 Pb 2.76
Pb (0.2916, 0.6667, 0.3333)  3 F 2.51, 3 S 2.76
F (0.0948, 0.0000, 0.0000)  3 Pb 2.51

=====

B | A relaxed PbSF crystal. Source: Alexandria, functional GGA-PBE.

Results
Its total magnetization is 0.0 μB per cell.

a = 6.1010 Å, b = 6.1283 Å, c = 7.4428 Å
α = 114.31°, β = 90.00°, γ = 90.00°
Closest atoms and distances in Å follow each position.
Sites, in units of the cell vectors:
S (0.8790, 0.1206, 0.0000)  1 S 2.09
Pb (0.0000, 0.6434, 0.2868)  4 F 2.56-2.64
F (0.2500, 0.9899, 0.5000)  4 Pb 2.56-2.64
S (0.6210, 0.6206, 0.0000)  1 S 2.09
Pb (0.0000, 0.3566, 0.7132)  4 F 2.56-2.64
F (0.2500, 0.4899, 0.5000)  4 Pb 2.56-2.64
F (0.7500, 0.5101, 0.5000)  4 Pb 2.56-2.64
S (0.1210, 0.8794, 0.0000)  1 S 2.09
F (0.7500, 0.0101, 0.5000)  4 Pb 2.56-2.64
S (0.3790, 0.3794, 0.0000)  1 S 2.09
Pb (0.5000, 0.1434, 0.2868)  4 F 2.56-2.64
Pb (0.5000, 0.8566, 0.7132)  4 F 2.56-2.64

=====

C | A relaxed PbSF crystal. Source: Alexandria, functional GGA-PBE.

Results
As for the density of states at the Fermi level: 2.24 states/eV/cell. Its total magnetization is 0.0 μB per cell.

a = 6.9477 Å, b = 4.6615 Å, c = 4.1871 Å
α = 90.00°, β = 104.07°, γ = 90.00°
Closest atoms and distances in Å follow each position.
Sites, in units of the cell vectors:
F (0.0397, 0.7500, 0.2991)  4 Pb 2.55-2.76
S (0.5089, 0.2500, 0.9326)  2 S 2.41
Pb (0.7972, 0.7500, 0.6701)  4 F 2.55-2.76
S (0.4911, 0.7500, 0.0674)  2 S 2.41
Pb (0.2028, 0.2500, 0.3299)  4 F 2.55-2.76
F (0.9603, 0.2500, 0.7009)  4 Pb 2.55-2.76

=====

Least stable: A

=====

A | A relaxed SbPbF2 crystal. Source: Alexandria, functional GGA-PBE.

Results
As for the density of states at the Fermi level: 4.13 states/eV/cell. Its total magnetization is 0.0 μB per cell.

a = 7.0687 Å, b = 7.0687 Å, c = 5.9653 Å
α = 53.67°, β = 53.67°, γ = 90.00°
Closest atoms and distances in Å follow each position.
Sites, in units of the cell vectors:
Sb (0.5000, 0.5000, 0.0000)  4 F 2.68
F (0.3750, 0.3648, 0.7500)  2 Pb 2.58, 2 Sb 2.68
F (0.6352, 0.1250, 0.2500)  2 Pb 2.58, 2 Sb 2.68
Pb (0.0000, 0.0000, 0.0000)  4 F 2.58
F (0.8750, 0.8852, 0.7500)  2 Pb 2.58, 2 Sb 2.68
Pb (0.7500, 0.2500, 0.5000)  4 F 2.58
F (0.1148, 0.6250, 0.2500)  2 Pb 2.58, 2 Sb 2.68
Sb (0.2500, 0.7500, 0.5000)  4 F 2.68

=====

B | A relaxed SbPbF2 crystal. Source: Alexandria, functional GGA-PBE.

Results
As for the density of states at the Fermi level: 4.63 states/eV/cell. Its total magnetization is 0.0 μB per cell.

a = 4.7281 Å, b = 4.7281 Å, c = 4.7281 Å
α = 60.00°, β = 60.00°, γ = 60.00°
Closest atoms and distances in Å follow each position.
Sites, in units of the cell vectors:
F (0.7500, 0.7500, 0.7500)  4 Pb 2.90, 4 Sb 2.90
F (0.2500, 0.2500, 0.2500)  4 Pb 2.90, 4 Sb 2.90
Pb (0.5000, 0.5000, 0.5000)  8 F 2.90
Sb (0.0000, 0.0000, 0.0000)  8 F 2.90

=====

Least stable: B

=====

A | A relaxed Sb3PbF crystal. Source: Alexandria, functional GGA-PBE.

Results
As for the density of states at the Fermi level: 5.41 states/eV/cell. Its total magnetization is 0.0 μB per cell.

a = 5.8072 Å, b = 5.8072 Å, c = 5.8072 Å
α = 90.00°, β = 90.00°, γ = 90.00°
Closest atoms and distances in Å follow each position.
Sites, in units of the cell vectors:
Pb (0.0000, 0.0000, 0.0000)  6 Sb 2.90
Sb (0.0000, 0.5000, 0.0000)  2 Pb 2.90
Sb (0.0000, 0.0000, 0.5000)  2 Pb 2.90
Sb (0.5000, 0.0000, 0.0000)  2 Pb 2.90
F (0.5000, 0.5000, 0.5000)  12 Sb 4.11

=====

B | A relaxed Sb3PbF crystal. Source: Alexandria, functional GGA-PBE.

Results
As for the density of states at the Fermi level: 2.66 states/eV/cell. Its total magnetization is 0.0 μB per cell.

a = 5.0569 Å, b = 5.0569 Å, c = 5.0569 Å
α = 90.00°, β = 90.00°, γ = 90.00°
Closest atoms and distances in Å follow each position.
Sites, in units of the cell vectors:
Sb (0.5000, 0.0000, 0.0000)  2 F 2.53
Sb (0.0000, 0.5000, 0.0000)  2 F 2.53
Sb (0.0000, 0.0000, 0.5000)  2 F 2.53
F (0.0000, 0.0000, 0.0000)  6 Sb 2.53
Pb (0.5000, 0.5000, 0.5000)  12 Sb 3.58

=====

Least stable: A

=====

A | A relaxed SbPb2F crystal. Source: Alexandria, functional GGA-PBE.

Results
As for the density of states at the Fermi level: 0.12 states/eV/cell. Its total magnetization is 0.0 μB per cell.

a = 4.4557 Å, b = 4.4557 Å, c = 6.7329 Å
α = 70.68°, β = 70.68°, γ = 60.00°
Closest atoms and distances in Å follow each position.
Sites, in units of the cell vectors:
Pb (0.7382, 0.7382, 0.7853)  3 F 2.90, 3 Sb 3.13
F (0.0000, 0.0000, 0.0000)  6 Pb 2.90
Sb (0.5000, 0.5000, 0.5000)  6 Pb 3.13
Pb (0.2618, 0.2618, 0.2147)  3 F 2.90, 3 Sb 3.13

=====

B | A relaxed SbPb2F crystal. Source: Alexandria, functional GGA-PBE.

Results
As for the density of states at the Fermi level: 0.98 states/eV/cell. Its total magnetization is 0.0 μB per cell.

a = 5.2564 Å, b = 5.2564 Å, c = 5.2564 Å
α = 60.00°, β = 60.00°, γ = 60.00°
Closest atoms and distances in Å follow each position.
Sites, in units of the cell vectors:
Sb (0.5000, 0.5000, 0.5000)  8 Pb 3.22
Pb (0.7500, 0.7500, 0.7500)  4 F 3.22, 4 Sb 3.22
F (0.0000, 0.0000, 0.0000)  8 Pb 3.22
Pb (0.2500, 0.2500, 0.2500)  4 Sb 3.22, 4 F 3.22

=====

Least stable: B

=====

A | A relaxed SbPbF3 crystal. Source: Alexandria, functional GGA-PBE.

Results
As for the density of states at the Fermi level: 4.42 states/eV/cell. Its total magnetization is 0.0 μB per cell.

a = 4.6466 Å, b = 4.6466 Å, c = 4.6466 Å
α = 90.00°, β = 90.00°, γ = 90.00°
Closest atoms and distances in Å follow each position.
Sites, in units of the cell vectors:
F (0.0000, 0.0000, 0.5000)  2 Sb 2.32
F (0.0000, 0.5000, 0.0000)  2 Sb 2.32
Sb (0.0000, 0.0000, 0.0000)  6 F 2.32
F (0.5000, 0.0000, 0.0000)  2 Sb 2.32
Pb (0.5000, 0.5000, 0.5000)  12 F 3.29

=====

B | A relaxed SbPbF3 crystal. Source: Alexandria, functional GGA-PBE.

Results
As for the density of states at the Fermi level: 5.76 states/eV/cell. Its total magnetization is 2.0 μB per cell.

a = 4.8118 Å, b = 4.8118 Å, c = 4.8118 Å
α = 90.00°, β = 90.00°, γ = 90.00°
Closest atoms and distances in Å follow each position.
Sites, in units of the cell vectors:
F (0.0000, 0.5000, 0.0000)  2 Pb 2.41
F (0.0000, 0.0000, 0.5000)  2 Pb 2.41
Sb (0.5000, 0.5000, 0.5000)  12 F 3.40
Pb (0.0000, 0.0000, 0.0000)  6 F 2.41
F (0.5000, 0.0000, 0.0000)  2 Pb 2.41

=====

Least stable: B

=====

A | A relaxed SbTe2PbF crystal. Source: Alexandria, functional GGA-PBE.

Results
As for the density of states at the Fermi level: 3.29 states/eV/cell. Its total magnetization is 0.0 μB per cell.

a = 5.6664 Å, b = 5.6664 Å, c = 4.3582 Å
α = 90.00°, β = 90.00°, γ = 90.00°
Closest atoms and distances in Å follow each position.
Sites, in units of the cell vectors:
Sb (0.0000, 0.0000, 0.5000)  2 F 2.18
Pb (0.5000, 0.5000, 0.5000)  8 Te 3.57
Te (0.5000, 0.0000, 0.0000)  2 F 2.83
F (0.0000, 0.0000, 0.0000)  2 Sb 2.18
Te (0.0000, 0.5000, 0.0000)  2 F 2.83

=====

B | A relaxed SbTe2PbF crystal. Source: Alexandria, functional GGA-PBE.

Results
As for the density of states at the Fermi level: 9.64 states/eV/cell. Its total magnetization is 0.1 μB per cell.

a = 5.8403 Å, b = 5.8403 Å, c = 5.9609 Å
α = 90.00°, β = 90.00°, γ = 90.00°
Closest atoms and distances in Å follow each position.
Sites, in units of the cell vectors:
F (0.5000, 0.5000, 0.5000)  4 Sb 4.13, 8 Te 4.17
Te (0.5000, 0.0000, 0.0000)  2 Pb 2.92
Te (0.0000, 0.5000, 0.0000)  2 Pb 2.92
Pb (0.0000, 0.0000, 0.0000)  4 Te 2.92, 2 Sb 2.98
Sb (0.0000, 0.0000, 0.5000)  2 Pb 2.98

=====

Least stable: B

=====

A | A relaxed ScPb3F crystal. Source: Alexandria, functional GGA-PBE.

Results
As for the density of states at the Fermi level: 4.70 states/eV/cell. Its total magnetization is 0.0 μB per cell.

a = 5.6518 Å, b = 5.6518 Å, c = 5.6518 Å
α = 90.00°, β = 90.00°, γ = 90.00°
Closest atoms and distances in Å follow each position.
Sites, in units of the cell vectors:
F (0.5000, 0.5000, 0.5000)  12 Pb 4.00
Sc (0.0000, 0.0000, 0.0000)  6 Pb 2.83
Pb (0.5000, 0.0000, 0.0000)  2 Sc 2.83
Pb (0.0000, 0.5000, 0.0000)  2 Sc 2.83
Pb (0.0000, 0.0000, 0.5000)  2 Sc 2.83

=====

B | A relaxed ScPb3F crystal. Source: Alexandria, functional GGA-PBE.

Results
As for the density of states at the Fermi level: 4.48 states/eV/cell. Its total magnetization is 0.0 μB per cell.

a = 5.0475 Å, b = 5.0475 Å, c = 5.0475 Å
α = 90.00°, β = 90.00°, γ = 90.00°
Closest atoms and distances in Å follow each position.
Sites, in units of the cell vectors:
Pb (0.5000, 0.0000, 0.0000)  2 F 2.52
F (0.0000, 0.0000, 0.0000)  6 Pb 2.52
Sc (0.5000, 0.5000, 0.5000)  12 Pb 3.57
Pb (0.0000, 0.0000, 0.5000)  2 F 2.52
Pb (0.0000, 0.5000, 0.0000)  2 F 2.52

=====

Least stable: A

=====

A | A relaxed ScPbF3 crystal. Source: Alexandria, functional GGA-PBE.

Results
As for the density of states at the Fermi level: 3.97 states/eV/cell. Its total magnetization is 0.2 μB per cell.

a = 4.3354 Å, b = 4.3354 Å, c = 4.3354 Å
α = 90.00°, β = 90.00°, γ = 90.00°
Closest atoms and distances in Å follow each position.
Sites, in units of the cell vectors:
Sc (0.0000, 0.0000, 0.0000)  6 F 2.17
F (0.0000, 0.0000, 0.5000)  2 Sc 2.17
F (0.0000, 0.5000, 0.0000)  2 Sc 2.17
Pb (0.5000, 0.5000, 0.5000)  12 F 3.07
F (0.5000, 0.0000, 0.0000)  2 Sc 2.17

=====

B | A relaxed ScPbF3 crystal. Source: Alexandria, functional GGA-PBE.

Results
As for the density of states at the Fermi level: 3.17 states/eV/cell. Its total magnetization is 2.0 μB per cell.

a = 4.7924 Å, b = 4.7924 Å, c = 4.7924 Å
α = 90.00°, β = 90.00°, γ = 90.00°
Closest atoms and distances in Å follow each position.
Sites, in units of the cell vectors:
Sc (0.5000, 0.5000, 0.5000)  12 F 3.39
Pb (0.0000, 0.0000, 0.0000)  6 F 2.40
F (0.5000, 0.0000, 0.0000)  2 Pb 2.40
F (0.0000, 0.5000, 0.0000)  2 Pb 2.40
F (0.0000, 0.0000, 0.5000)  2 Pb 2.40

=====

Least stable: B

=====

A | A relaxed PbSe2F crystal. Source: Alexandria, functional GGA-PBE.

Results
As for the density of states at the Fermi level: 2.38 states/eV/cell. Its total magnetization is 0.0 μB per cell.

a = 8.0182 Å, b = 8.0182 Å, c = 8.0182 Å
α = 30.16°, β = 30.16°, γ = 30.16°
Closest atoms and distances in Å follow each position.
Sites, in units of the cell vectors:
Se (0.0933, 0.0933, 0.0933)  1 F 2.14
F (0.0000, 0.0000, 0.0000)  2 Se 2.14
Se (0.9067, 0.9067, 0.9067)  1 F 2.14
Pb (0.5000, 0.5000, 0.5000)  6 Se 2.94

=====

B | A relaxed PbSe2F crystal. Source: Alexandria, functional GGA-PBE.

Results
As for the density of states at the Fermi level: 2.74 states/eV/cell. Its total magnetization is 0.0 μB per cell.

a = 9.7423 Å, b = 9.7423 Å, c = 7.2718 Å
α = 47.94°, β = 47.94°, γ = 90.00°
Closest atoms and distances in Å follow each position.
Sites, in units of the cell vectors:
Se (0.3750, 0.3228, 0.7500)  2 Se 2.54
Pb (0.0000, 0.0000, 0.0000)  2 F 2.33
F (0.2500, 0.7500, 0.5000)  2 Pb 2.33
Se (0.0728, 0.6250, 0.2500)  2 Se 2.54
Se (0.8750, 0.9272, 0.7500)  2 Se 2.54
Pb (0.7500, 0.2500, 0.5000)  2 F 2.33
Se (0.6772, 0.1250, 0.2500)  2 Se 2.54
F (0.5000, 0.5000, 0.0000)  2 Pb 2.33

=====

Least stable: A

=====

A | A relaxed PbSe2F crystal. Source: Alexandria, functional GGA-PBE.

Results
As for the density of states at the Fermi level: 5.65 states/eV/cell. Its total magnetization is 0.0 μB per cell.

a = 4.8976 Å, b = 4.8976 Å, c = 4.8976 Å
α = 60.00°, β = 60.00°, γ = 60.00°
Closest atoms and distances in Å follow each position.
Sites, in units of the cell vectors:
Se (0.7500, 0.7500, 0.7500)  4 F 3.00, 4 Pb 3.00
Pb (0.5000, 0.5000, 0.5000)  8 Se 3.00
Se (0.2500, 0.2500, 0.2500)  4 F 3.00, 4 Pb 3.00
F (0.0000, 0.0000, 0.0000)  8 Se 3.00

=====

B | A relaxed PbSe2F crystal. Source: Alexandria, functional GGA-PBE.

Results
As for the density of states at the Fermi level: 3.08 states/eV/cell. Its total magnetization is 0.0 μB per cell.

a = 5.4566 Å, b = 5.4566 Å, c = 5.4566 Å
α = 49.04°, β = 49.04°, γ = 49.04°
Closest atoms and distances in Å follow each position.
Sites, in units of the cell vectors:
Se (0.2192, 0.2192, 0.2192)  3 F 2.72, 3 Se 3.02
Pb (0.0000, 0.0000, 0.0000)  8 Se 3.09-3.15
F (0.5000, 0.5000, 0.5000)  6 Se 2.72
Se (0.7808, 0.7808, 0.7808)  3 F 2.72, 3 Se 3.02

=====

Least stable: A

=====

A | A relaxed PbSe3F crystal. Source: Alexandria, functional GGA-PBE.

Results
As for the density of states at the Fermi level: 20.02 states/eV/cell. Its total magnetization is 3.8 μB per cell.

a = 5.6022 Å, b = 5.6022 Å, c = 5.6022 Å
α = 90.00°, β = 90.00°, γ = 90.00°
Closest atoms and distances in Å follow each position.
Sites, in units of the cell vectors:
Pb (0.0000, 0.0000, 0.0000)  6 Se 2.80
Se (0.5000, 0.0000, 0.0000)  2 Pb 2.80
Se (0.0000, 0.5000, 0.0000)  2 Pb 2.80
Se (0.0000, 0.0000, 0.5000)  2 Pb 2.80
F (0.5000, 0.5000, 0.5000)  12 Se 3.96

=====

B | A relaxed PbSe3F crystal. Source: Alexandria, functional GGA-PBE.

Results
As for the density of states at the Fermi level: 2.22 states/eV/cell. Its total magnetization is 0.0 μB per cell.

a = 4.8077 Å, b = 4.8077 Å, c = 4.8077 Å
α = 90.00°, β = 90.00°, γ = 90.00°
Closest atoms and distances in Å follow each position.
Sites, in units of the cell vectors:
Pb (0.5000, 0.5000, 0.5000)  12 Se 3.40
F (0.0000, 0.0000, 0.0000)  6 Se 2.40
Se (0.5000, 0.0000, 0.0000)  2 F 2.40
Se (0.0000, 0.5000, 0.0000)  2 F 2.40
Se (0.0000, 0.0000, 0.5000)  2 F 2.40

=====

Least stable: A